(P)
Compound: Li7AlAg3
Source: the Alexandria database
Functional: PBE
Structure: optimized geometry

Values from the calculation:
Its crystal system is orthorhombic.

The structure in CIF format:
```
data_Li7AlAg3
_chemical_formula_sum 'Li28 Al4 Ag12'
_symmetry_space_group_name_H-M 'C m c m'
_symmetry_Int_Tables_number 63
_symmetry_space_group_name_Hall '-C 2c 2'
_cell_length_a 2.834
_cell_length_b 20.977
_cell_length_c 12.965
_cell_angle_alpha 90.00
_cell_angle_beta 90.00
_cell_angle_gamma 90.00
loop_
_atom_site_label
_atom_site_type_symbol
_atom_site_fract_x
_atom_site_fract_y
_atom_site_fract_z
Li1 Li 0.000 0.047 0.084
Li2 Li 0.000 0.085 0.616
Li3 Li 0.000 0.140 0.250
Li4 Li 0.000 0.230 0.616
Al1 Al 0.000 0.499 0.250
Ag1 Ag 0.000 0.345 0.535
Ag2 Ag 0.000 0.346 0.250
```

(Q)
Compound: Li7AlAg3
Source: the Alexandria database
Functional: PBE
Structure: optimized geometry

Values from the calculation:
Its crystal system is trigonal.

The structure in CIF format:
```
data_Li7AlAg3
_chemical_formula_sum 'Li7 Al1 Ag3'
_symmetry_space_group_name_H-M 'P 3 m 1'
_symmetry_Int_Tables_number 156
_cell_length_a 5.8030
_cell_length_b 5.8030
_cell_length_c 6.7840
_cell_angle_alpha 90.00
_cell_angle_beta 90.00
_cell_angle_gamma 120.00
loop_
_symmetry_equiv_pos_as_xyz
'x,y,z'
'-y,x-y,z'
'-x+y,-x,z'
'-y,-x,z'
'-x+y,y,z'
'x,x-y,z'
loop_
_atom_site_label
_atom_site_type_symbol
_atom_site_fract_x
_atom_site_fract_y
_atom_site_fract_z
Li1 Li 0.0000 0.0000 0.0000
Li2 Li 0.1697 0.3393 0.6436
Li3 Li 0.5009 0.0019 0.0074
Al1 Al 0.6667 0.3333 0.6575
Ag1 Ag 0.3319 0.1660 0.3300
```

Which structure loses on stability? (Q) does.

(P)
Compound: LiAl5Ag4
Source: the Alexandria database
Functional: PBE
Structure: optimized geometry

Values from the calculation:
Its crystal system is monoclinic.

The structure in CIF format:
```
data_LiAl5Ag4
_chemical_formula_sum 'Li2 Al10 Ag8'
_symmetry_space_group_name_H-M 'C 1 2/m 1'
_symmetry_Int_Tables_number 12
_cell_length_a 13.598
_cell_length_b 3.048
_cell_length_c 8.375
_cell_angle_alpha 90.00
_cell_angle_beta 90.54
_cell_angle_gamma 90.00
loop_
_symmetry_equiv_pos_as_xyz
'x,y,z'
'-x,-y,-z'
'-x,y,-z'
'x,-y,z'
'x+1/2,y+1/2,z'
'-x+1/2,-y+1/2,-z'
'-x+1/2,y+1/2,-z'
'x+1/2,-y+1/2,z'
loop_
_atom_site_label
_atom_site_type_symbol
_atom_site_fract_x
_atom_site_fract_y
_atom_site_fract_z
Li1 Li 0.000 0.000 0.000
Al1 Al 0.000 0.000 0.500
Al2 Al 0.170 0.500 0.038
Al3 Al 0.173 0.500 0.450
Ag1 Ag 0.025 0.500 0.245
Ag2 Ag 0.164 0.000 0.749
```

(Q)
Compound: LiAl5Ag4
Source: the Alexandria database
Functional: PBE
Structure: optimized geometry

Values from the calculation:
Its crystal system is orthorhombic.

The structure in CIF format:
```
data_LiAl5Ag4
_chemical_formula_sum 'Li2 Al10 Ag8'
_symmetry_space_group_name_H-M 'P m m n'
_symmetry_Int_Tables_number 59
_cell_length_a 5.937
_cell_length_b 9.407
_cell_length_c 6.767
_cell_angle_alpha 90.00
_cell_angle_beta 90.00
_cell_angle_gamma 90.00
loop_
_symmetry_equiv_pos_as_xyz
'x,y,z'
'-x,-y,-z'
'-x+1/2,-y+1/2,z'
'x+1/2,y+1/2,-z'
'x+1/2,-y,-z'
'-x+1/2,y,z'
'-x,y+1/2,-z'
'x,-y+1/2,z'
loop_
_atom_site_label
_atom_site_type_symbol
_atom_site_fract_x
_atom_site_fract_y
_atom_site_fract_z
Li1 Li 0.250 0.250 0.012
Al1 Al 0.008 0.024 0.694
Al2 Al 0.250 0.750 0.276
Ag1 Ag 0.011 0.250 0.410
Ag2 Ag 0.250 0.588 0.969
```

Which structure loses on stability? (Q) does.

(P)
Compound: Li3Al4Ag4
Source: the Alexandria database
Functional: PBE
Structure: optimized geometry

Values from the calculation:
Its crystal system is triclinic.

The structure in CIF format:
```
data_Li3Al4Ag4
_chemical_formula_sum 'Li3 Al4 Ag4'
_symmetry_space_group_name_H-M 'P -1'
_symmetry_Int_Tables_number 2
_cell_length_a 2.862
_cell_length_b 4.501
_cell_length_c 14.057
_cell_angle_alpha 99.01
_cell_angle_beta 90.52
_cell_angle_gamma 90.00
loop_
_symmetry_equiv_pos_as_xyz
'x,y,z'
'-x,-y,-z'
loop_
_atom_site_label
_atom_site_type_symbol
_atom_site_fract_x
_atom_site_fract_y
_atom_site_fract_z
Li1 Li 0.000 0.000 0.000
Li2 Li 0.249 0.351 0.704
Al1 Al 0.250 0.737 0.473
Al2 Al 0.293 0.909 0.819
Ag1 Ag 0.242 0.177 0.353
Ag2 Ag 0.250 0.556 0.111
```

(Q)
Compound: Li3Al4Ag4
Source: the Alexandria database
Functional: PBE
Structure: optimized geometry

Values from the calculation:
Its crystal system is monoclinic.

The structure in CIF format:
```
data_Li3Al4Ag4
_chemical_formula_sum 'Li6 Al8 Ag8'
_symmetry_space_group_name_H-M 'C 1 2/m 1'
_symmetry_Int_Tables_number 12
_cell_length_a 13.592
_cell_length_b 7.553
_cell_length_c 4.225
_cell_angle_alpha 90.00
_cell_angle_beta 106.00
_cell_angle_gamma 90.00
loop_
_symmetry_equiv_pos_as_xyz
'x,y,z'
'-x,-y,-z'
'-x,y,-z'
'x,-y,z'
'x+1/2,y+1/2,z'
'-x+1/2,-y+1/2,-z'
'-x+1/2,y+1/2,-z'
'x+1/2,-y+1/2,z'
loop_
_atom_site_label
_atom_site_type_symbol
_atom_site_fract_x
_atom_site_fract_y
_atom_site_fract_z
Li1 Li 0.000 0.000 0.000
Li2 Li 0.115 0.500 0.109
Al1 Al 0.181 0.182 0.698
Ag1 Ag 0.000 0.313 0.500
Ag2 Ag 0.241 0.000 0.253
```

Which structure loses on stability? (Q) does.

(P)
Compound: LiAl6Ag2
Source: the Alexandria database
Functional: PBE
Structure: optimized geometry

Values from the calculation:
Its crystal system is trigonal.

The structure in CIF format:
```
data_LiAl6Ag2
_chemical_formula_sum 'Li3 Al18 Ag6'
_symmetry_space_group_name_H-M 'R 3 m'
_symmetry_Int_Tables_number 160
_symmetry_space_group_name_Hall 'R 3 -2"'
_cell_length_a 5.3307
_cell_length_b 5.3307
_cell_length_c 21.5197
_cell_angle_alpha 90.00
_cell_angle_beta 90.00
_cell_angle_gamma 120.00
loop_
_atom_site_label
_atom_site_type_symbol
_atom_site_fract_x
_atom_site_fract_y
_atom_site_fract_z
Li1 Li 0.0000 0.0000 0.0000
Al1 Al 0.1672 0.3344 0.1116
Al2 Al 0.1681 0.3361 0.8894
Ag1 Ag 0.0000 0.0000 0.6011
Ag2 Ag 0.0000 0.0000 0.7362
```

(Q)
Compound: LiAl6Ag2
Source: the Alexandria database
Functional: PBE
Structure: optimized geometry

Values from the calculation:
Its crystal system is hexagonal.

The structure in CIF format:
```
data_LiAl6Ag2
_chemical_formula_sum 'Li1 Al6 Ag2'
_symmetry_space_group_name_H-M 'P -6 m 2'
_symmetry_Int_Tables_number 187
_symmetry_space_group_name_Hall 'P -6 2'
_cell_length_a 2.9080
_cell_length_b 2.9080
_cell_length_c 21.1050
_cell_angle_alpha 90.00
_cell_angle_beta 90.00
_cell_angle_gamma 120.00
loop_
_atom_site_label
_atom_site_type_symbol
_atom_site_fract_x
_atom_site_fract_y
_atom_site_fract_z
Li1 Li 0.0000 0.0000 0.0000
Al1 Al 0.0000 0.0000 0.2171
Al2 Al 0.0000 0.0000 0.4366
Al3 Al 0.6667 0.3333 0.1098
Ag1 Ag 0.6667 0.3333 0.3267
```

Which structure loses on stability? (P) does.